## La2CeGa12Co3 (PBE)

Data for a relaxed La2CeGa12Co3 crystal.

Computed properties:
- Formation enthalpy at 0 K: -0.12 eV per atom
- SG: R-3m, No. 166
- Spin magnetization: 0.7 μB per cell

Cell: 7.990 7.990 7.990 Å, 64.83 64.83 64.83°
Sites, in units of the cell vectors:
1 La 0.084 0.084 0.084
2 La 0.916 0.916 0.916
3 Ce 0.500 0.500 0.500
4 Ga 0.027 0.665 0.665
5 Ga 0.223 0.223 0.595
6 Ga 0.223 0.595 0.223
7 Ga 0.335 0.335 0.973
8 Ga 0.335 0.973 0.335
9 Ga 0.405 0.777 0.777
10 Ga 0.595 0.223 0.223
11 Ga 0.665 0.027 0.665
12 Ga 0.665 0.665 0.027
13 Ga 0.777 0.405 0.777
14 Ga 0.777 0.777 0.405
15 Ga 0.973 0.335 0.335
16 Co 0.000 0.500 0.500
17 Co 0.500 0.000 0.500
18 Co 0.500 0.500 0.000



## LaCe2GaCo (PBE)

Data for a relaxed LaCe2GaCo crystal.

Computed properties:
- Formation enthalpy at 0 K: -0.16 eV per atom
- SG: P4mm, No. 99
- Spin magnetization: 1.1 μB per cell

Cell: 4.976 4.976 5.538 Å, 90.00 90.00 90.00°
Sites, in units of the cell vectors:
1 La 0.000 0.000 0.000
2 Ce 0.000 0.500 0.500
3 Ce 0.500 0.000 0.500
4 Ga 0.500 0.500 0.999
5 Co 0.000 0.000 0.500



## LaCeGaCo (PBE)

Data for a relaxed LaCeGaCo crystal.

Computed properties:
- Formation enthalpy at 0 K: -0.34 eV per atom
- SG: Cm, No. 8
- Spin magnetization: 0.0 μB per cell

Cell: 3.591 3.591 7.101 Å, 90.05 90.05 90.00°
Sites, in units of the cell vectors:
1 La 0.000 0.000 0.000
2 Ce 0.999 0.999 0.446
3 Ga 0.499 0.499 0.714
4 Co 0.500 0.500 0.360



## LiCeGaCo (PBE)

Data for a relaxed LiCeGaCo crystal.

Computed properties:
- Formation enthalpy at 0 K: -0.25 eV per atom
- SG: F-43m, No. 216
- Spin magnetization: 0.0 μB per cell

Cell: 4.518 4.518 4.518 Å, 60.00 60.00 60.00°
Sites, in units of the cell vectors:
1 Li 0.000 0.000 0.000
2 Ce 0.750 0.750 0.750
3 Ga 0.250 0.250 0.250
4 Co 0.500 0.500 0.500



## LiCe2Ga6Co (PBE)

Data for a relaxed LiCe2Ga6Co crystal.

Computed properties:
- Formation enthalpy at 0 K: -0.29 eV per atom
- SG: I4/mmm, No. 139
- Spin magnetization: 1.7 μB per cell

Cell: 6.460 6.460 6.460 Å, 119.96 119.96 90.07°
Sites, in units of the cell vectors:
1 Li 0.000 0.000 0.000
2 Ce 0.250 0.750 0.500
3 Ce 0.750 0.250 0.500
4 Ga 0.247 0.247 0.000
5 Ga 0.247 0.247 0.494
6 Ga 0.247 0.753 0.000
7 Ga 0.753 0.247 0.000
8 Ga 0.753 0.753 0.000
9 Ga 0.753 0.753 0.506
10 Co 0.500 0.500 0.000



## CeLuGaCo (PBE)

Data for a relaxed CeLuGaCo crystal.

Computed properties:
- Formation enthalpy at 0 K: -0.28 eV per atom
- SG: F-43m, No. 216
- Spin magnetization: 0.5 μB per cell

Cell: 4.897 4.897 4.897 Å, 60.00 60.00 60.00°
Sites, in units of the cell vectors:
1 Ce 0.000 0.000 0.000
2 Lu 0.500 0.500 0.500
3 Ga 0.250 0.250 0.250
4 Co 0.750 0.750 0.750



## CeGaCo2N (PBE)

Data for a relaxed CeGaCo2N crystal.

Computed properties:
- Raw formation energy: -0.6184 eV per atom
- SG: Cmcm, No. 63
- Spin magnetization: 1.9 μB per cell

Cell: 5.836 5.836 6.894 Å, 90.00 90.00 143.06°
Sites, in units of the cell vectors:
1 Ce 0.049 0.951 0.750
2 Ce 0.951 0.049 0.250
3 Ga 0.228 0.772 0.250
4 Ga 0.772 0.228 0.750
5 Co 0.341 0.659 0.552
6 Co 0.341 0.659 0.948
7 Co 0.659 0.341 0.052
8 Co 0.659 0.341 0.448
9 N 0.500 0.500 0.000
10 N 0.500 0.500 0.500



## Ce2NdGaCo (PBE)

Data for a relaxed Ce2NdGaCo crystal.

Computed properties:
- Formation enthalpy at 0 K: -0.16 eV per atom
- SG: P4mm, No. 99
- Spin magnetization: 0.7 μB per cell

Cell: 4.908 4.908 5.585 Å, 90.00 90.00 90.00°
Sites, in units of the cell vectors:
1 Ce 0.000 0.500 0.000
2 Ce 0.500 0.000 0.000
3 Nd 0.000 0.000 0.501
4 Ga 0.500 0.500 0.504
5 Co 0.000 0.000 0.001